No. 1
The following is a DFT calculation (PBE) of an optimized crystal structure of CoHgAsSe2.

a b c (Å): 4.962 4.962 4.342
angles (deg): 90.00 90.00 90.00
Sites, in units of the cell vectors:
Hg 0.500 0.500 0.500
Co 0.000 0.000 0.000
Se 0.000 0.500 0.000
As 0.000 0.000 0.500
Se 0.500 0.000 0.000

Results
**Size of the total moment**: 0.00 μB per formula unit
**ΔE_f (raw)**: 0.328 eV per atom
**Energy relative to the lowest polymorph listed for this composition**: 0.00 eV/f.u.
**Symmetry**: No. 123

No. 2
The following is a DFT calculation (PBE) of an optimized crystal structure of V2CoHgAs.

a b c (Å): 4.605 5.002 4.605
angles (deg): 90.00 90.00 90.00
Each line ends with the local moment (μB).
Sites, in units of the cell vectors:
Co 0.500 0.500 0.500  1.95
Hg 0.000 0.500 0.000  -0.03
V 0.500 0.000 0.000  1.50
V 0.000 0.000 0.500  1.95
As 0.000 0.000 0.000  -0.05

Results
**Size of the total moment**: 5.71 μB per formula unit
**Energy relative to the elements**: 1.20 eV per atom
**Symmetry**: No. 123

No. 3
The following is a DFT calculation (PBE) of an optimized crystal structure of HoCo3As3.

a b c (Å): 6.337 6.337 6.337
angles (deg): 90.00 90.00 90.00
Sites, in units of the cell vectors:
As 0.250 0.500 0.000
Co 0.500 0.250 0.000
As 0.750 0.500 0.000
As 0.000 0.750 0.500
As 0.000 0.250 0.500
As 0.500 0.000 0.250
As 0.500 0.000 0.750
Ho 0.500 0.500 0.500
Co 0.000 0.500 0.750
Co 0.250 0.000 0.500
Co 0.500 0.750 0.000
Ho 0.000 0.000 0.000
Co 0.750 0.000 0.500
Co 0.000 0.500 0.250

Results
**Size of the total moment**: 0.00 μB per formula unit
**Energy relative to the elements**: -0.19 eV per atom
**Symmetry**: No. 223

No. 4
The following is a DFT calculation (PBE) of an optimized crystal structure of Ho2Co12As7.

a b c (Å): 3.721 9.352 9.352
angles (deg): 120.00 90.00 90.00
Each line ends with the local moment (μB).
Sites, in units of the cell vectors:
As 0.500 0.626 0.554  -0.01
Co 0.500 0.561 0.768  0.97
Co 0.500 0.901 0.614  0.24
Co 0.000 0.456 0.512  0.33
Ho 0.500 0.000 0.000  -0.01
As 0.000 0.333 0.667  -0.03
Co 0.000 0.056 0.544  0.33
Co 0.000 0.488 0.944  0.33
Ho 0.000 0.667 0.333  -0.01
As 0.000 0.741 0.958  -0.01
As 0.000 0.042 0.783  -0.01
As 0.500 0.927 0.374  -0.01
As 0.500 0.446 0.073  -0.01
Co 0.500 0.207 0.439  0.97
Co 0.500 0.713 0.099  0.24
Co 0.000 0.275 0.043  0.48
Co 0.000 0.957 0.232  0.48
Co 0.500 0.232 0.793  0.97
Co 0.000 0.768 0.725  0.48
As 0.000 0.217 0.259  -0.01
Co 0.500 0.386 0.287  0.24

Results
**Size of the total moment**: 5.79 μB per formula unit
**Energy relative to the elements**: -0.47 eV per atom
**Symmetry**: No. 174

Number 3 is which compound?
HoCo3As3